# 1
Here is a geometry-optimized Mg14MnCu structure from Alexandria. Energies are from GGA-PBE.

Cell: 6.2172 6.2172 10.0540 Å, 90.00 90.00 120.00°
Element x y z (fractional)
Mg (0.0000, 0.0000, 0.2475)
Mg (0.0000, 0.0000, 0.7525)
Mg (0.0113, 0.5057, 0.2519)
Mg (0.0113, 0.5057, 0.7481)
Mg (0.3313, 0.1657, 0.5000)
Mg (0.3355, 0.1678, 0.0000)
Mg (0.4943, 0.5057, 0.2519)
Mg (0.4943, 0.5057, 0.7481)
Mg (0.4943, 0.9887, 0.2519)
Mg (0.4943, 0.9887, 0.7481)
Mg (0.8322, 0.1678, 0.0000)
Mg (0.8322, 0.6645, 0.0000)
Mg (0.8343, 0.1657, 0.5000)
Mg (0.8343, 0.6687, 0.5000)
Mn (0.3333, 0.6667, 0.0000)
Cu (0.3333, 0.6667, 0.5000)

Properties
Energy of formation, eV/atom: 0.0528

***

# 2
Here is a geometry-optimized DyAlRu2C structure from Alexandria. Energies are from GGA-PBE.

Cell: 5.9363 5.9363 7.2540 Å, 90.00 90.00 141.67°
Element x y z (fractional)
Dy (0.0477, 0.9523, 0.7500)
Dy (0.9523, 0.0477, 0.2500)
Al (0.2294, 0.7706, 0.2500)
Al (0.7706, 0.2294, 0.7500)
Ru (0.3374, 0.6626, 0.5557)
Ru (0.3374, 0.6626, 0.9443)
Ru (0.6626, 0.3374, 0.0557)
Ru (0.6626, 0.3374, 0.4443)
C (0.5000, 0.5000, 0.0000)
C (0.5000, 0.5000, 0.5000)

Properties
Energy of formation, eV/atom: -0.4222

***

# 3
Here is a geometry-optimized SrS structure from Alexandria. Energies are from GGA-PBE.

Cell: 7.8926 7.8926 7.8926 Å, 109.47 109.47 109.47°
Element x y z (fractional)
Sr (0.0000, 0.0000, 0.3152)
Sr (0.0000, 0.3152, 0.0000)
Sr (0.3152, 0.0000, 0.0000)
Sr (0.6848, 0.6848, 0.6848)
S (0.0000, 0.0000, 0.6776)
S (0.0000, 0.6776, 0.0000)
S (0.3224, 0.3224, 0.3224)
S (0.6776, 0.0000, 0.0000)

Properties
ΔE to the lowest computed polymorph, eV/atom: 0.333
Raw formation energy, kJ/mol of atoms: -176

***

# 4
Here is a geometry-optimized AcGdTeSe structure from Alexandria. Energies are from GGA-PBE.

Cell: 5.4541 5.4541 5.4541 Å, 60.00 60.00 60.00°
Element x y z (fractional)
Ac (0.0000, 0.0000, 0.0000)
Gd (0.5000, 0.5000, 0.5000)
Te (0.7500, 0.7500, 0.7500)
Se (0.2500, 0.2500, 0.2500)

Properties
Raw formation energy, kJ/mol of atoms: -136

***

no.,calculated total energy (eV per atom),V (Å³ per cell)
1,-2.1715,337
2,-7.6462,159
3,-4.7236,378
4,-7.6175,115